[1]
TbInCu2: relaxed, GGA-PBE.

Cell lengths 3.6028, 4.6394, 4.6394 Å; angles 90.00, 90.00, 90.00 degrees
Closest atoms and distances in Å follow each position.
Fractional positions:
Tb (0.5000, 0.5000, 0.5000)  8 Cu 2.94, 4 In 3.28
Cu (0.0000, 0.0000, 0.5000)  4 Tb 2.94, 4 In 2.94, 4 Cu 3.28
Cu (0.0000, 0.5000, 0.0000)  4 Tb 2.94, 4 In 2.94, 4 Cu 3.28
In (0.5000, 0.0000, 0.0000)  8 Cu 2.94, 4 Tb 3.28

Results
Its space group is P4/mmm, No. 123. The total energy is -4.013 eV/atom. Its volume is 77.5 Å³ per cell. The density of states at the Fermi level is 0.49 states/eV per atom. The total magnetic moment is 0.0000 μB per atom. The energy relative to the elements comes out at -0.123 eV per atom.

=====

[2]
Lu4Fe: relaxed, GGA-PBE.

Cell lengths 7.2607, 7.2607, 7.2607 Å; angles 60.00, 60.00, 60.00 degrees
Closest atoms and distances in Å follow each position.
Fractional positions:
Lu (0.8858, 0.8858, 0.8858)  1 Fe 2.41
Lu (0.3427, 0.8858, 0.8858)  1 Fe 2.41
Lu (0.8858, 0.8858, 0.3427)  1 Fe 2.41
Lu (0.9073, 0.3642, 0.3642)  1 Fe 2.41
Lu (0.3642, 0.3642, 0.3642)  1 Fe 2.41
Lu (0.8858, 0.3427, 0.8858)  1 Fe 2.41
Lu (0.3642, 0.3642, 0.9073)  1 Fe 2.41
Lu (0.3642, 0.9073, 0.3642)  1 Fe 2.41
Fe (0.5000, 0.5000, 0.5000)  4 Lu 2.41
Fe (0.7500, 0.7500, 0.7500)  4 Lu 2.41

Results
Its space group is Fd-3m, No. 227. The total energy is -4.877 eV/atom. Its volume is 270.7 Å³ per cell. The density of states at the Fermi level is 1.12 states/eV per atom. The total magnetic moment is 0.0002 μB per atom. The energy relative to the elements comes out at 0.432 eV per atom.

=====

[3]
MgHPd2: relaxed, GGA-PBE.

Cell lengths 2.9048, 2.9048, 6.0618 Å; angles 90.00, 90.00, 90.00 degrees
Closest atoms and distances in Å follow each position.
Fractional positions:
H (0.5000, 0.5000, 0.0000)  8 Pd 2.44
Mg (0.5000, 0.5000, 0.5000)  8 Pd 2.68, 4 Mg 2.90
Pd (0.0000, 0.0000, 0.7835)  4 H 2.44, 1 Pd 2.62, 4 Mg 2.68
Pd (0.0000, 0.0000, 0.2165)  4 H 2.44, 1 Pd 2.62, 4 Mg 2.68

Results
As for the energy above the most stable polymorph in this dataset: 272 meV/atom. Its space group is P4/mmm, No. 123. The total energy is -3.986 eV/atom. Its volume is 51.1 Å³ per cell. The density of states at the Fermi level is 0.08 states/eV per atom. The total magnetic moment is 0.0000 μB per atom.